Record 1
## Nb3GeTe (GGA-PBE)

Data for crystalline Nb3GeTe at its relaxed geometry.

## Properties
* excess energy over the best structure of this formula in the dataset: 0.0000 eV/atom
* uncorrected energy: -6.76 eV per atom
* calculated density: 7.1 g cm⁻³

Cell: 4.818 4.818 4.818 Å, 90.00 90.00 90.00°
Fractional positions:
Nb1 0.000 0.000 0.500
Nb2 0.000 0.500 0.000
Nb3 0.500 0.000 0.000
Ge1 0.000 0.000 0.000
Te1 0.500 0.500 0.500



Record 2
## LiPPb2 (GGA-PBE)

Data for crystalline LiPPb2 at its relaxed geometry.

## Properties
* uncorrected energy: -3.57 eV per atom
* energy relative to the elements: 0.11 eV per atom
* calculated density: 7.7 g cm⁻³

Cell: 3.207 3.907 7.804 Å, 90.00 90.00 90.00°
Fractional positions:
Li1 0.000 0.000 0.000
P1 0.500 0.000 0.500
Pb1 0.500 0.500 0.240
Pb2 0.500 0.500 0.760



Record 3
## MgTlPb2 (GGA-PBE)

Data for crystalline MgTlPb2 at its relaxed geometry.

## Properties
* uncorrected energy: -2.82 eV per atom
* energy relative to the elements: 0.02 eV per atom
* calculated density: 9.2 g cm⁻³

Cell: 3.674 5.812 10.895 Å, 90.00 90.00 90.00°
Fractional positions:
Mg1 0.000 0.000 0.000
Mg2 0.500 0.500 0.000
Tl1 0.000 0.500 0.771
Tl2 0.500 0.000 0.771
Pb1 0.000 0.000 0.506
Pb2 0.000 0.500 0.233
Pb3 0.500 0.000 0.233
Pb4 0.500 0.500 0.506



Record 4
## TiNi (GGA-PBE)

Data for crystalline TiNi at its relaxed geometry.

## Properties
* uncorrected energy: -5.90 eV per atom
* energy relative to the elements: 0.94 eV per atom
* calculated density: 3.7 g cm⁻³

Cell: 6.619 6.619 6.619 Å, 90.00 90.00 90.00°
Fractional positions:
Ti1 0.000 0.250 0.500
Ti2 0.000 0.750 0.500
Ti3 0.250 0.500 0.000
Ti4 0.500 0.000 0.250
Ti5 0.500 0.000 0.750
Ti6 0.750 0.500 0.000
Ni1 0.000 0.500 0.250
Ni2 0.000 0.500 0.750
Ni3 0.250 0.000 0.500
Ni4 0.500 0.250 0.000
Ni5 0.500 0.750 0.000
Ni6 0.750 0.000 0.500



Record 5
## CoRe2As (GGA-PBE)

Data for crystalline CoRe2As at its relaxed geometry.

## Properties
* uncorrected energy: -8.72 eV per atom
* energy relative to the elements: 0.45 eV per atom
* calculated density: 14.6 g cm⁻³

Cell: 6.134 6.134 6.134 Å, 90.00 90.00 90.00°
Fractional positions:
Co1 0.000 0.000 0.000
Co2 0.000 0.500 0.500
Co3 0.500 0.000 0.500
Co4 0.500 0.500 0.000
Re1 0.000 0.000 0.500
Re2 0.000 0.500 0.000
Re3 0.250 0.250 0.750
Re4 0.250 0.750 0.250
Re5 0.500 0.000 0.000
Re6 0.500 0.500 0.500
Re7 0.750 0.250 0.250
Re8 0.750 0.750 0.750
As1 0.250 0.250 0.250
As2 0.250 0.750 0.750
As3 0.750 0.250 0.750
As4 0.750 0.750 0.250



Record 6
## DyHoGaIr (GGA-PBE)

Data for crystalline DyHoGaIr at its relaxed geometry.

## Properties
* excess energy over the best structure of this formula in the dataset: 0.0000 eV/atom
* uncorrected energy: -6.02 eV per atom
* energy relative to the elements: -0.75 eV per atom
* calculated density: 10.9 g cm⁻³

Cell: 4.276 3.936 10.656 Å, 90.00 90.00 90.00°
Fractional positions:
Dy1 0.000 0.000 0.000
Dy2 0.000 0.500 0.500
Ho1 0.500 0.000 0.717
Ho2 0.500 0.500 0.217
Ga1 0.500 0.000 0.427
Ga2 0.500 0.500 0.927
Ir1 0.000 0.000 0.282
Ir2 0.000 0.500 0.782



Record 7
## CaAc3C8 (GGA-PBE)

Data for crystalline CaAc3C8 at its relaxed geometry.

## Properties
* uncorrected energy: -7.19 eV per atom
* energy relative to the elements: 0.15 eV per atom
* calculated density: 5.7 g cm⁻³

Cell: 6.769 6.769 6.769 Å, 111.63 111.63 105.23°
Fractional positions:
Ca1 0.000 0.000 0.000
Ac1 0.250 0.750 0.500
Ac2 0.500 0.500 0.000
Ac3 0.750 0.250 0.500
C1 0.056 0.056 0.675
C2 0.135 0.625 0.000
C3 0.375 0.375 0.510
C4 0.381 0.381 0.325
C5 0.619 0.944 0.000
C6 0.625 0.135 0.000
C7 0.865 0.865 0.490
C8 0.944 0.619 0.000



Record 8
## CuSbIr2 (GGA-PBE)

Data for crystalline CuSbIr2 at its relaxed geometry.

## Properties
* uncorrected energy: -6.32 eV per atom
* calculated density: 15.3 g cm⁻³

Cell: 3.053 3.484 5.827 Å, 90.00 90.00 90.00°
Fractional positions:
Cu1 0.000 0.000 0.000
Sb1 0.000 0.000 0.500
Ir1 0.500 0.500 0.237
Ir2 0.500 0.500 0.763



Record 9
## Y2HgBr (GGA-PBE)

Data for crystalline Y2HgBr at its relaxed geometry.

## Properties
* excess energy over the best structure of this formula in the dataset: 0.1607 eV/atom
* uncorrected energy: -4.29 eV per atom
* calculated density: 7.1 g cm⁻³

Cell: 4.456 5.989 8.075 Å, 90.00 90.00 90.00°
Fractional positions:
Y1 0.000 0.000 0.237
Y2 0.000 0.000 0.763
Y3 0.500 0.500 0.263
Y4 0.500 0.500 0.737
Hg1 0.000 0.500 0.000
Hg2 0.500 0.000 0.500
Br1 0.000 0.500 0.500
Br2 0.500 0.000 0.000



Record 10
## CrCu2Ag (GGA-PBE)

Data for crystalline CrCu2Ag at its relaxed geometry.

## Properties
* excess energy over the best structure of this formula in the dataset: 0.0566 eV/atom
* uncorrected energy: -4.83 eV per atom
* energy relative to the elements: 0.34 eV per atom
* calculated density: 8.2 g cm⁻³

Cell: 6.158 6.158 6.158 Å, 90.00 90.00 90.00°
Fractional positions:
Cr1 0.000 0.000 0.000
Cr2 0.000 0.500 0.500
Cr3 0.500 0.000 0.500
Cr4 0.500 0.500 0.000
Cu1 0.000 0.000 0.500
Cu2 0.000 0.500 0.000
Cu3 0.250 0.250 0.750
Cu4 0.250 0.750 0.250
Cu5 0.500 0.000 0.000
Cu6 0.500 0.500 0.500
Cu7 0.750 0.250 0.250
Cu8 0.750 0.750 0.750
Ag1 0.250 0.250 0.250
Ag2 0.250 0.750 0.750
Ag3 0.750 0.250 0.750
Ag4 0.750 0.750 0.250



Record 11
## SrLi2Hg (GGA-PBE)

Data for crystalline SrLi2Hg at its relaxed geometry.

## Properties
* uncorrected energy: -1.70 eV per atom
* energy relative to the elements: -0.25 eV per atom
* calculated density: 4.5 g cm⁻³

Cell: 4.405 4.405 11.539 Å, 90.00 90.00 90.00°
Fractional positions:
Sr1 0.250 0.250 0.236
Sr2 0.750 0.750 0.764
Li1 0.250 0.250 0.932
Li2 0.250 0.750 0.500
Li3 0.750 0.250 0.500
Li4 0.750 0.750 0.068
Hg1 0.250 0.250 0.661
Hg2 0.750 0.750 0.339



Record 12
## PrHg2Ge (GGA-PBE)

Data for crystalline PrHg2Ge at its relaxed geometry.

## Properties
* excess energy over the best structure of this formula in the dataset: 0.0000 eV/atom
* uncorrected energy: -2.91 eV per atom
* energy relative to the elements: -0.41 eV per atom
* calculated density: 10.4 g cm⁻³

Cell: 4.424 4.424 5.010 Å, 90.00 90.00 90.00°
Fractional positions:
Pr1 0.000 0.000 0.000
Hg1 0.000 0.500 0.500
Hg2 0.500 0.000 0.500
Ge1 0.500 0.500 0.000



Record 13
## MgBiH (GGA-PBE)

Data for crystalline MgBiH at its relaxed geometry.

## Properties
* excess energy over the best structure of this formula in the dataset: 0.0220 eV/atom
* uncorrected energy: -2.99 eV per atom
* calculated density: 5.5 g cm⁻³

Cell: 3.451 5.037 8.616 Å, 106.16 100.81 90.47°
Fractional positions:
Mg1 0.222 0.221 0.439
Mg2 0.778 0.779 0.561
Bi1 0.126 0.626 0.241
Bi2 0.874 0.374 0.759
H1 0.457 0.958 0.024
H2 0.543 0.042 0.976



Record 14
## NbZn3Sn (GGA-PBE)

Data for crystalline NbZn3Sn at its relaxed geometry.

## Properties
* excess energy over the best structure of this formula in the dataset: 0.0000 eV/atom
* uncorrected energy: -2.69 eV per atom
* energy relative to the elements: 0.89 eV per atom
* calculated density: 5.3 g cm⁻³

Cell: 5.035 5.035 5.035 Å, 90.00 90.00 90.00°
Fractional positions:
Nb1 0.000 0.000 0.000
Zn1 0.000 0.000 0.500
Zn2 0.000 0.500 0.000
Zn3 0.500 0.000 0.000
Sn1 0.500 0.500 0.500



Record 15
## Tl2AsPd6 (GGA-PBE)

Data for crystalline Tl2AsPd6 at its relaxed geometry.

## Properties
* uncorrected energy: -4.76 eV per atom
* energy relative to the elements: -0.26 eV per atom
* calculated density: 11.8 g cm⁻³

Cell: 7.184 7.184 3.540 Å, 90.00 90.00 120.00°
Fractional positions:
Tl1 0.333 0.667 0.000
Tl2 0.667 0.333 0.000
As1 0.000 0.000 0.500
Pd1 0.000 0.377 0.500
Pd2 0.000 0.752 0.000
Pd3 0.248 0.248 0.000
Pd4 0.377 0.000 0.500
Pd5 0.623 0.623 0.500
Pd6 0.752 0.000 0.000